This record from Alexandria via LeMat-Bulk describes a relaxed structure of ReTeHI2. The functional is PBE. Values from VASP.

Raw total energy: -3.4545 eV per atom
D(E_F): 0.77 states/eV/atom
Theoretical density: 5.7 Mg/m³
SG: P4/mmm, No. 123

```
&SYSTEM
  ibrav = 0, nat = 5, ntyp = 4
/
ATOMIC_SPECIES
Re 186.21 Re.upf
Te 127.60 Te.upf
H 1.01 H.upf
I 126.90 I.upf
ATOMIC_POSITIONS angstrom
Re 0.000 0.000 0.000
Te 0.000 0.000 2.542
H 2.856 2.856 2.542
I 0.000 2.856 0.000
I 2.856 0.000 0.000
CELL_PARAMETERS angstrom
5.711 0.000 0.000
0.000 5.711 0.000
0.000 0.000 5.083
```